Entry 1:
## K2CuI2Cl2 (PBE-GGA)

Data for K2CuI2Cl2 after structural relaxation.

a = 7.4106 Å, b = 7.4106 Å, c = 5.9250 Å
α = 113.42°, β = 113.42°, γ = 52.51°
With the nearest neighbours (Å) after each atom.
Positions (direct):
K 0.2111 0.2111 0.2120  4 Cl 3.22-3.30
K 0.7889 0.7889 0.7880  4 Cl 3.22-3.30
Cu 0.5000 0.5000 0.0000  2 Cl 2.17
I 0.2469 0.7531 0.5000  2 I 3.24-3.32, 2 Cu 3.40
I 0.7531 0.2469 0.5000  2 I 3.24-3.32, 2 Cu 3.40
Cl 0.3175 0.3175 0.8180  1 Cu 2.17
Cl 0.6825 0.6825 0.1820  1 Cu 2.17

Computed properties:
Its uncorrected formation energy is -1.0805 eV/atom.

Entry 2:
## Cs3Sm2NpTe6 (PBE-GGA)

Data for Cs3Sm2NpTe6 after structural relaxation.

a = 8.0342 Å, b = 8.0342 Å, c = 9.3289 Å
α = 98.28°, β = 98.28°, γ = 120.05°
With the nearest neighbours (Å) after each atom.
Positions (direct):
Cs 0.0000 0.0000 0.0000  6 Te 3.84
Cs 0.3325 0.6675 0.0000  6 Te 3.83-3.84
Cs 0.6675 0.3325 0.0000  6 Te 3.83-3.84
Sm 0.1669 0.8331 0.5000  6 Te 3.18-3.19
Sm 0.8331 0.1669 0.5000  6 Te 3.18-3.19
Np 0.5000 0.5000 0.5000  6 Te 3.18
Te 0.1027 0.4364 0.3076  2 Sm 3.18, 1 Np 3.18
Te 0.2316 0.2316 0.6926  1 Np 3.18, 2 Sm 3.19
Te 0.4364 0.1027 0.3076  2 Sm 3.18, 1 Np 3.18
Te 0.5636 0.8973 0.6924  2 Sm 3.18, 1 Np 3.18
Te 0.7684 0.7684 0.3074  1 Np 3.18, 2 Sm 3.19
Te 0.8973 0.5636 0.6924  2 Sm 3.18, 1 Np 3.18

Computed properties:
Its uncorrected formation energy is -1.2274 eV/atom.

Entry 3:
## CaMn5 (PBE-GGA)

Data for CaMn5 after structural relaxation.

a = 4.9310 Å, b = 4.9310 Å, c = 4.9310 Å
α = 60.00°, β = 60.00°, γ = 60.00°
With the nearest neighbours (Å) after each atom.
Positions (direct):
Ca 0.0000 0.0000 0.0000  16 Mn 2.89-3.02
Mn 0.3748 0.3748 0.3748  6 Mn 2.46-2.47
Mn 0.3748 0.3748 0.8755  6 Mn 2.46-2.47
Mn 0.3748 0.8755 0.3748  6 Mn 2.46-2.47
Mn 0.7500 0.7500 0.7500  12 Mn 2.89, 4 Ca 3.02
Mn 0.8755 0.3748 0.3748  6 Mn 2.46-2.47

Computed properties:
As for the formation energy: 0.429 eV/atom.

Entry 4:
## Ba3TeIr (PBE-GGA)

Data for Ba3TeIr after structural relaxation.

a = 5.9929 Å, b = 5.9929 Å, c = 5.9929 Å
α = 90.00°, β = 90.00°, γ = 90.00°
With the nearest neighbours (Å) after each atom.
Positions (direct):
Ba 0.0000 0.0000 0.5000  2 Ir 3.00
Ba 0.0000 0.5000 0.0000  2 Ir 3.00
Ba 0.5000 0.0000 0.0000  2 Ir 3.00
Te 0.5000 0.5000 0.5000  12 Ba 4.24
Ir 0.0000 0.0000 0.0000  6 Ba 3.00

Computed properties:
Its uncorrected formation energy is -0.5780 eV/atom. The value obtained for the energy relative to the lowest polymorph listed for this composition is 0 meV/atom.

Entry 5:
## Zr4CdGa (PBE-GGA)

Data for Zr4CdGa after structural relaxation.

a = 6.9177 Å, b = 6.9177 Å, c = 5.4336 Å
α = 90.00°, β = 90.00°, γ = 90.00°
With the nearest neighbours (Å) after each atom.
Positions (direct):
Zr 0.1399 0.3397 0.0000  2 Ga 2.88, 1 Zr 2.94, 2 Cd 3.05
Zr 0.1399 0.6603 0.5000  2 Ga 2.88, 1 Zr 2.94, 2 Cd 3.05
Zr 0.3397 0.1399 0.5000  2 Ga 2.88, 1 Zr 2.94, 2 Cd 3.05
Zr 0.3397 0.8601 0.0000  2 Ga 2.88, 1 Zr 2.94, 2 Cd 3.05
Zr 0.6603 0.1399 0.0000  2 Ga 2.88, 1 Zr 2.94, 2 Cd 3.05
Zr 0.6603 0.8601 0.5000  2 Ga 2.88, 1 Zr 2.94, 2 Cd 3.05
Zr 0.8601 0.3397 0.5000  2 Ga 2.88, 1 Zr 2.94, 2 Cd 3.05
Zr 0.8601 0.6603 0.0000  2 Ga 2.88, 1 Zr 2.94, 2 Cd 3.05
Cd 0.5000 0.5000 0.2500  2 Cd 2.72
Cd 0.5000 0.5000 0.7500  2 Cd 2.72
Ga 0.0000 0.0000 0.2500  2 Ga 2.72, 8 Zr 2.88
Ga 0.0000 0.0000 0.7500  2 Ga 2.72, 8 Zr 2.88

Computed properties:
As for the formation energy: -0.198 eV/atom.

Entry 6:
## Sc2RuCl (PBE-GGA)

Data for Sc2RuCl after structural relaxation.

a = 3.2414 Å, b = 3.2414 Å, c = 8.0828 Å
α = 102.71°, β = 102.71°, γ = 84.36°
With the nearest neighbours (Å) after each atom.
Positions (direct):
Sc 0.1007 0.1007 0.2027  1 Cl 2.59, 4 Ru 2.68-2.87
Sc 0.8993 0.8993 0.7973  1 Cl 2.59, 4 Ru 2.68-2.87
Ru 0.5000 0.5000 0.0000  8 Sc 2.68-2.87
Cl 0.5000 0.5000 0.5000  2 Sc 2.59

Computed properties:
Its uncorrected formation energy is -0.9470 eV/atom. The value obtained for the energy relative to the lowest polymorph listed for this composition is 45 meV/atom.

Entry 7:
## KTc2 (PBE-GGA)

Data for KTc2 after structural relaxation.

a = 6.3153 Å, b = 6.3153 Å, c = 8.1761 Å
α = 90.42°, β = 90.42°, γ = 26.91°
With the nearest neighbours (Å) after each atom.
Positions (direct):
K 0.0000 0.0000 0.0000  2 K 2.94
K 0.2488 0.2488 0.7041  2 K 2.94
Tc 0.2671 0.2671 0.2545  4 Tc 2.45-2.56
Tc 0.5066 0.5066 0.5806  3 Tc 2.27-2.54
Tc 0.6104 0.6104 0.3524  1 Tc 2.27
Tc 0.9048 0.9048 0.3782  4 Tc 2.45-2.54

Computed properties:
The value obtained for the energy relative to the lowest polymorph listed for this composition is 306 meV/atom. As for the formation energy: 0.879 eV/atom.

Entry 8:
## Hf2ScPb (PBE-GGA)

Data for Hf2ScPb after structural relaxation.

a = 6.5096 Å, b = 6.5096 Å, c = 6.5096 Å
α = 101.84°, β = 101.84°, γ = 126.14°
With the nearest neighbours (Å) after each atom.
Positions (direct):
Hf 0.1134 0.1250 0.4884  2 Pb 2.93, 2 Hf 2.95, 2 Sc 3.06
Hf 0.3750 0.8866 0.0116  2 Pb 2.93, 2 Hf 2.95, 2 Sc 3.06
Hf 0.6366 0.6250 0.5116  2 Pb 2.93, 2 Hf 2.95, 2 Sc 3.06
Hf 0.8750 0.3634 0.9884  2 Pb 2.93, 2 Hf 2.95, 2 Sc 3.06
Sc 0.2500 0.7500 0.5000  2 Pb 2.95, 4 Hf 3.06
Sc 0.5000 0.5000 0.0000  2 Pb 2.95, 4 Hf 3.06
Pb 0.0000 0.0000 0.0000  4 Hf 2.93, 2 Sc 2.95
Pb 0.7500 0.2500 0.5000  4 Hf 2.93, 2 Sc 2.95

Computed properties:
As for the formation energy: 0.438 eV/atom.

Entry 9:
## TcP2Ru (PBE-GGA)

Data for TcP2Ru after structural relaxation.

a = 2.8858 Å, b = 3.7931 Å, c = 5.1705 Å
α = 90.00°, β = 90.00°, γ = 90.00°
With the nearest neighbours (Å) after each atom.
Positions (direct):
Tc 0.0000 0.0000 0.0000  4 P 2.38
P 0.0000 0.5000 0.5000  4 Ru 2.38
P 0.5000 0.5000 0.0000  4 Tc 2.38
Ru 0.5000 0.0000 0.5000  4 P 2.38

Computed properties:
The value obtained for the energy relative to the lowest polymorph listed for this composition is 480 meV/atom. As for the formation energy: 0.100 eV/atom.

Entry 10:
## SrPrAlS4 (PBE-GGA)

Data for SrPrAlS4 after structural relaxation.

a = 6.6544 Å, b = 6.6859 Å, c = 8.1723 Å
α = 90.00°, β = 107.36°, γ = 90.00°
With the nearest neighbours (Å) after each atom.
Positions (direct):
Sr 0.2389 0.2500 0.4346  6 S 2.96-3.19
Sr 0.7611 0.7500 0.5654  6 S 2.96-3.19
Pr 0.2794 0.2500 0.9466  6 S 2.88-2.97
Pr 0.7206 0.7500 0.0534  6 S 2.88-2.97
Al 0.2634 0.7500 0.1890  4 S 2.23-2.25
Al 0.7366 0.2500 0.8110  4 S 2.23-2.25
S 0.0654 0.7500 0.3657  1 Al 2.23
S 0.0711 0.7500 0.9133  1 Al 2.23
S 0.4966 0.0034 0.2412  1 Al 2.25
S 0.4966 0.4966 0.2412  1 Al 2.25
S 0.5034 0.5034 0.7588  1 Al 2.25
S 0.5034 0.9966 0.7588  1 Al 2.25
S 0.9289 0.2500 0.0867  1 Al 2.23
S 0.9346 0.2500 0.6343  1 Al 2.23

Computed properties:
Its uncorrected formation energy is -1.7494 eV/atom.

Entry 11:
## TbZr2Tl3Te6 (PBE-GGA)

Data for TbZr2Tl3Te6 after structural relaxation.

a = 7.2866 Å, b = 7.2866 Å, c = 8.7566 Å
α = 97.97°, β = 97.97°, γ = 120.02°
With the nearest neighbours (Å) after each atom.
Positions (direct):
Tb 0.0000 0.0000 0.0000  6 Te 3.07-3.09
Zr 0.3317 0.6683 0.0000  6 Te 2.97-2.98
Zr 0.6683 0.3317 0.0000  6 Te 2.97-2.98
Tl 0.1603 0.8397 0.5000  6 Te 3.41-3.46
Tl 0.5000 0.5000 0.5000  6 Te 3.39-3.46
Tl 0.8397 0.1603 0.5000  6 Te 3.41-3.46
Te 0.0716 0.4175 0.2130  2 Zr 2.97-2.98, 1 Tb 3.09
Te 0.2777 0.2777 0.7921  2 Zr 2.97, 1 Tb 3.07
Te 0.4175 0.0716 0.2130  2 Zr 2.97-2.98, 1 Tb 3.09
Te 0.5825 0.9284 0.7870  2 Zr 2.97-2.98, 1 Tb 3.09
Te 0.7223 0.7223 0.2079  2 Zr 2.97, 1 Tb 3.07
Te 0.9284 0.5825 0.7870  2 Zr 2.97-2.98, 1 Tb 3.09

Computed properties:
Its uncorrected formation energy is -0.7572 eV/atom.

Entry 12:
## Al2SbCl (PBE-GGA)

Data for Al2SbCl after structural relaxation.

a = 6.6334 Å, b = 6.6334 Å, c = 4.9440 Å
α = 111.30°, β = 111.30°, γ = 27.01°
With the nearest neighbours (Å) after each atom.
Positions (direct):
Al 0.0000 0.0000 0.0000  4 Al 2.87-3.10, 2 Sb 3.05, 1 Cl 3.16
Al 0.6901 0.6901 0.3512  2 Cl 2.42
Sb 0.3997 0.3997 0.4298  6 Al 3.01-3.26, 2 Sb 3.10
Cl 0.1837 0.1837 0.7200  2 Al 2.42

Computed properties:
Its uncorrected formation energy is -0.1548 eV/atom. The value obtained for the energy relative to the lowest polymorph listed for this composition is 111 meV/atom.

Density of states at the Fermi level, respectively: 1.90 5.10 7.56 4.20 16.67 2.06 5.44 6.70 2.96 0.00 6.25 0.82 states/eV per cell.